# 1
# GGA-PBEsol H3IrOs, relaxed
data_H3IrOs
_chemical_formula_sum 'H3 Ir1 Os1'
_cell_length_a 3.393
_cell_length_b 3.393
_cell_length_c 3.393
_cell_angle_alpha 90.00
_cell_angle_beta 90.00
_cell_angle_gamma 90.00
_space_group_name_H-M_alt 'P m -3 m'
_space_group_IT_number 221
_space_group_name_Hall '-P 4 2 3'
loop_
_atom_site_label
_atom_site_fract_x
_atom_site_fract_y
_atom_site_fract_z
H1 0.000 0.000 0.500
Ir1 0.000 0.000 0.000
Os1 0.500 0.500 0.500
# * total energy: -5.6481 eV/atom

---

# 2
# GGA-PBEsol P2HIr, relaxed
data_P2HIr
_chemical_formula_sum 'P8 H4 Ir4'
_cell_length_a 5.668
_cell_length_b 5.668
_cell_length_c 5.668
_cell_angle_alpha 90.00
_cell_angle_beta 90.00
_cell_angle_gamma 90.00
_space_group_name_H-M_alt 'F m -3 m'
_space_group_IT_number 225
_space_group_name_Hall '-F 4 2 3'
loop_
_atom_site_label
_atom_site_fract_x
_atom_site_fract_y
_atom_site_fract_z
P1 0.250 0.250 0.250
H1 0.000 0.000 0.000
Ir1 0.000 0.000 0.500
# * total energy: -6.0045 eV/atom

---

# 3
# GGA-PBEsol HIrPb3, relaxed
data_HIrPb3
_chemical_formula_sum 'H1 Ir1 Pb3'
_cell_length_a 4.622
_cell_length_b 4.622
_cell_length_c 4.622
_cell_angle_alpha 90.00
_cell_angle_beta 90.00
_cell_angle_gamma 90.00
_space_group_name_H-M_alt 'P m -3 m'
_space_group_IT_number 221
_space_group_name_Hall '-P 4 2 3'
loop_
_atom_site_label
_atom_site_fract_x
_atom_site_fract_y
_atom_site_fract_z
H1 0.000 0.000 0.000
Ir1 0.500 0.500 0.500
Pb1 0.000 0.000 0.500
# * total energy: -4.4002 eV/atom

---

# 4
# GGA-PBEsol ScHIrPb2, relaxed
data_ScHIrPb2
_chemical_formula_sum 'Sc1 H1 Ir1 Pb2'
_cell_length_a 4.628
_cell_length_b 4.628
_cell_length_c 3.977
_cell_angle_alpha 90.00
_cell_angle_beta 90.00
_cell_angle_gamma 90.00
_space_group_name_H-M_alt 'P 4/m m m'
_space_group_IT_number 123
_space_group_name_Hall '-P 4 2'
loop_
_atom_site_label
_atom_site_fract_x
_atom_site_fract_y
_atom_site_fract_z
Sc1 0.000 0.000 0.000
H1 0.000 0.000 0.500
Ir1 0.500 0.500 0.000
Pb1 0.000 0.500 0.500
# * total energy: -5.4392 eV/atom